Computed, not measured: a relaxed structure of SmGa2Pd9 at the PBE level of DFT.

a b c (Å): 4.0559 4.0559 11.7717
angles (deg): 90.00 90.00 90.00
Fractional positions:
Sm: 0.0000 0.0000 0.0000
Ga: 0.0000 0.0000 0.3438
Ga: 0.0000 0.0000 0.6562
Pd: 0.0000 0.5000 0.1844
Pd: 0.0000 0.5000 0.5000
Pd: 0.0000 0.5000 0.8156
Pd: 0.5000 0.0000 0.1844
Pd: 0.5000 0.0000 0.5000
Pd: 0.5000 0.0000 0.8156
Pd: 0.5000 0.5000 0.0000
Pd: 0.5000 0.5000 0.3408
Pd: 0.5000 0.5000 0.6592

- ΔH_f (0 K) (eV/atom) = -0.5638
- theoretical density (g/cm3) = 10.70
- symmetry = P4/mmm (123)

=====

Computed, not measured: a relaxed structure of SrPrZnAu at the PBE level of DFT.

a b c (Å): 5.3529 5.3529 5.3529
angles (deg): 60.00 60.00 60.00
Fractional positions:
Sr: 0.0000 0.0000 0.0000
Pr: 0.5000 0.5000 0.5000
Zn: 0.7500 0.7500 0.7500
Au: 0.2500 0.2500 0.2500

- relative energy among the computed polymorphs (meV/atom) = 40
- ΔH_f (0 K) (eV/atom) = -0.4571
- theoretical density (g/cm3) = 7.52
- symmetry = F-43m (216)

=====

Computed, not measured: a relaxed structure of Cs4Pr3BiS8 at the PBE level of DFT.

a b c (Å): 9.4797 9.4797 9.4797
angles (deg): 53.56 53.56 53.56
Fractional positions:
Cs: 0.0000 0.0000 0.0000
Cs: 0.0000 0.5000 0.5000
Cs: 0.5000 0.0000 0.5000
Cs: 0.5000 0.5000 0.0000
Pr: 0.0000 0.0000 0.5000
Pr: 0.0000 0.5000 0.0000
Pr: 0.5000 0.0000 0.0000
Bi: 0.5000 0.5000 0.5000
S: 0.2292 0.2292 0.2292
S: 0.2312 0.7285 0.7285
S: 0.2715 0.2715 0.7688
S: 0.2715 0.7688 0.2715
S: 0.7285 0.2312 0.7285
S: 0.7285 0.7285 0.2312
S: 0.7688 0.2715 0.2715
S: 0.7708 0.7708 0.7708

- VASP energy (eV per atom) = -4.960
- theoretical density (g/cm3) = 4.61
- symmetry = R-3m (166)

=====

Computed, not measured: a relaxed structure of PrEuTl at the PBE level of DFT.

a b c (Å): 7.2394 7.2394 7.2394
angles (deg): 148.81 148.81 44.69
Fractional positions:
Pr: 0.0000 0.0000 0.0000
Eu: 0.2993 0.2993 0.0000
Tl: 0.6466 0.6466 0.0000

- relative energy among the computed polymorphs (meV/atom) = 0
- ΔH_f (0 K) (eV/atom) = -0.2313
- theoretical density (g/cm3) = 8.14
- symmetry = I4mm (107)

=====

Computed, not measured: a relaxed structure of Sr3PbN at the PBE level of DFT.

a b c (Å): 7.4921 5.3882 8.2327
angles (deg): 90.00 117.01 90.00
Fractional positions:
Sr: 0.0000 0.0000 0.0000
Sr: 0.1440 0.5000 0.7872
Sr: 0.2403 0.0000 0.4997
Sr: 0.5000 0.0000 0.0000
Sr: 0.7597 0.0000 0.5003
Sr: 0.8560 0.5000 0.2128
Pb: 0.3830 0.5000 0.2671
Pb: 0.6170 0.5000 0.7329
N: 0.1260 0.0000 0.7515
N: 0.8740 0.0000 0.2485

- VASP energy (eV per atom) = -4.010
- theoretical density (g/cm3) = 5.43
- symmetry = P2/m (10)

=====

Computed, not measured: a relaxed structure of Pm4Tl5Ga2 at the PBE level of DFT.

a b c (Å): 8.2173 3.8296 9.6507
angles (deg): 90.00 91.89 90.00
Fractional positions:
Pm: 0.2059 0.0000 0.3551
Pm: 0.2333 0.0000 0.9047
Pm: 0.7667 0.0000 0.0953
Pm: 0.7941 0.0000 0.6449
Tl: 0.1366 0.5000 0.6316
Tl: 0.4449 0.5000 0.1588
Tl: 0.5000 0.5000 0.5000
Tl: 0.5551 0.5000 0.8412
Tl: 0.8634 0.5000 0.3684
Ga: 0.0783 0.5000 0.1209
Ga: 0.9217 0.5000 0.8791

- ΔH_f (0 K) (eV/atom) = -0.3880
- theoretical density (g/cm3) = 9.53
- symmetry = P2/m (10)

=====

Computed, not measured: a relaxed structure of Hf4MnFe at the PBE level of DFT.

a b c (Å): 4.3724 4.3724 6.1791
angles (deg): 92.73 92.73 89.87
Fractional positions:
Hf: 0.0041 0.5055 0.7497
Hf: 0.4945 0.9959 0.2503
Hf: 0.5055 0.0041 0.7497
Hf: 0.9959 0.4945 0.2503
Mn: 0.5000 0.5000 0.5000
Fe: 0.0000 0.0000 0.0000

- ΔH_f (0 K) (eV/atom) = 0.0904
- theoretical density (g/cm3) = 11.62
- symmetry = C2/m (12)

=====

Computed, not measured: a relaxed structure of Cd3Rh at the PBE level of DFT.

a b c (Å): 5.2227 5.2227 5.2227
angles (deg): 90.00 90.00 90.00
Fractional positions:
Cd: 0.0000 0.0000 0.5000
Cd: 0.0000 0.5000 0.0000
Cd: 0.5000 0.0000 0.0000
Rh: 0.0000 0.0000 0.0000

- ΔH_f (0 K) (eV/atom) = 0.2125
- theoretical density (g/cm3) = 5.13
- symmetry = Pm-3m (221)

=====

Computed, not measured: a relaxed structure of MoWAu2 at the PBE level of DFT.

a b c (Å): 4.9238 4.9238 4.9238
angles (deg): 130.94 130.94 71.91
Fractional positions:
Mo: 0.0000 0.0000 0.0000
W: 0.2500 0.7500 0.5000
Au: 0.5000 0.5000 0.0000
Au: 0.7500 0.2500 0.5000

- relative energy among the computed polymorphs (meV/atom) = 158
- ΔH_f (0 K) (eV/atom) = 0.3626
- theoretical density (g/cm3) = 16.79
- symmetry = I-4m2 (119)

=====

Computed, not measured: a relaxed structure of Pm2Pr2NdMg at the PBE level of DFT.

a b c (Å): 6.2163 19.0666 3.4823
angles (deg): 90.00 90.00 90.00
Fractional positions:
Pm: 0.1601 0.2013 0.0000
Pm: 0.3399 0.7013 0.5000
Pm: 0.6601 0.2987 0.5000
Pm: 0.8399 0.7987 0.0000
Pr: 0.1611 0.3628 0.5000
Pr: 0.3389 0.8628 0.0000
Pr: 0.6611 0.1372 0.0000
Pr: 0.8389 0.6372 0.5000
Nd: 0.0000 0.0000 0.0000
Nd: 0.5000 0.5000 0.5000
Mg: 0.0000 0.5000 0.0000
Mg: 0.5000 0.0000 0.5000

- ΔH_f (0 K) (eV/atom) = 0.2151
- theoretical density (g/cm3) = 5.96
- symmetry = Pnnm (58)

=====

Computed, not measured: a relaxed structure of PrYAg2 at the PBE level of DFT.

a b c (Å): 3.6773 3.6773 7.5690
angles (deg): 90.00 90.00 90.00
Fractional positions:
Pr: 0.0000 0.0000 0.0000
Y: 0.0000 0.0000 0.5000
Ag: 0.5000 0.5000 0.2705
Ag: 0.5000 0.5000 0.7295

- relative energy among the computed polymorphs (meV/atom) = 0
- ΔH_f (0 K) (eV/atom) = -0.2908
- theoretical density (g/cm3) = 7.23
- symmetry = P4/mmm (123)

=====

Computed, not measured: a relaxed structure of LaYbRh2 at the PBE level of DFT.

a b c (Å): 4.9111 4.9111 4.9111
angles (deg): 60.00 60.00 60.00
Fractional positions:
La: 0.0000 0.0000 0.0000
Yb: 0.5000 0.5000 0.5000
Rh: 0.2500 0.2500 0.2500
Rh: 0.7500 0.7500 0.7500

- ΔH_f (0 K) (eV/atom) = -0.6608
- theoretical density (g/cm3) = 10.26
- symmetry = Fm-3m (225)